# 1
## ZnRuBr3 (PBE-GGA)

Data for a geometry-optimized ZnRuBr3 structure.

```
5
Lattice="5.148 0.000 0.000 0.000 5.148 0.000 0.000 0.000 5.148" Properties=species:S:1:pos:R:3 pbc="T T T"
Zn 0.000 0.000 0.000
Ru 2.574 2.574 2.574
Br 0.000 0.000 2.574
Br 0.000 2.574 0.000
Br 2.574 0.000 0.000
```

Results
Its uncorrected formation energy is 0.480 eV per atom. The density of states at the Fermi level comes out at 0.83 states/eV/atom. As for the space group: Pm-3m, No. 221. The value obtained for the relative energy among the computed polymorphs is 275.0 meV/atom.



# 2
## ZnRu2Br (PBE-GGA)

Data for a geometry-optimized ZnRu2Br structure.

```
4
Lattice="2.954 0.000 0.000 0.000 2.954 0.000 0.000 0.000 8.007" Properties=species:S:1:pos:R:3 pbc="T T T"
Zn 0.000 0.000 0.000
Ru 0.000 0.000 4.789
Ru 1.477 1.477 6.387
Br 1.477 1.477 2.925
```

Results
Its uncorrected formation energy is 0.293 eV per atom. The density of states at the Fermi level comes out at 0.68 states/eV/atom. As for the space group: P4mm, No. 99. The value obtained for the relative energy among the computed polymorphs is 59.7 meV/atom.



# 3
## ZnRuBr4 (PBE-GGA)

Data for a geometry-optimized ZnRuBr4 structure.

```
6
Lattice="0.000 4.394 4.394 4.394 0.000 4.394 4.394 4.394 0.000" Properties=species:S:1:pos:R:3 pbc="T T T"
Zn 0.000 0.000 0.000
Ru 2.197 2.197 2.197
Br 5.489 3.299 3.299
Br 3.299 5.489 3.299
Br 3.299 3.299 5.489
Br 5.489 5.489 5.489
```

Results
Its uncorrected formation energy is 1.186 eV per atom. The density of states at the Fermi level comes out at 1.89 states/eV/atom. As for the space group: F-43m, No. 216.



# 4
## ZnRuBr (PBE-GGA)

Data for a geometry-optimized ZnRuBr structure.

```
3
Lattice="0.000 2.782 6.534 1.519 0.000 6.534 1.519 2.782 0.000" Properties=species:S:1:pos:R:3 pbc="T T T"
Zn 0.000 0.000 0.000
Ru 1.519 2.782 4.521
Br 1.519 2.782 9.038
```

Results
Its uncorrected formation energy is 0.530 eV per atom. The density of states at the Fermi level comes out at 1.02 states/eV/atom. As for the space group: Fmm2, No. 42. The value obtained for the relative energy among the computed polymorphs is 125.0 meV/atom.



# 5
## ZnRu2Br (PBE-GGA)

Data for a geometry-optimized ZnRu2Br structure.

```
4
Lattice="-1.990 1.990 3.967 1.990 -1.990 3.967 1.990 1.990 -3.967" Properties=species:S:1:pos:R:3 pbc="T T T"
Zn 0.000 0.000 0.000
Ru 0.000 0.000 3.967
Ru 0.000 1.990 1.984
Br 1.990 0.000 1.984
```

Results
Its uncorrected formation energy is 0.829 eV per atom. The density of states at the Fermi level comes out at 1.36 states/eV/atom. As for the space group: I-4m2, No. 119. The value obtained for the relative energy among the computed polymorphs is 596.1 meV/atom.



# 6
## ZnRu2Br (PBE-GGA)

Data for a geometry-optimized ZnRu2Br structure.

```
4
Lattice="1.480 0.854 8.654 -1.480 0.854 8.654 0.000 -1.709 8.654" Properties=species:S:1:pos:R:3 pbc="T T T"
Zn 0.000 0.000 0.000
Ru 0.000 0.000 12.630
Ru 0.000 0.000 19.329
Br 0.000 0.000 6.117
```

Results
Its uncorrected formation energy is 0.401 eV per atom. The density of states at the Fermi level comes out at 0.57 states/eV/atom. As for the space group: R3m, No. 160. The value obtained for the relative energy among the computed polymorphs is 167.9 meV/atom.



# 7
## ZnRu2Br (PBE-GGA)

Data for a geometry-optimized ZnRu2Br structure.

```
4
Lattice="3.111 0.000 0.000 0.000 3.111 0.000 0.000 0.000 6.206" Properties=species:S:1:pos:R:3 pbc="T T T"
Zn 0.000 0.000 0.000
Ru 1.555 1.555 1.469
Ru 1.555 1.555 4.736
Br 0.000 0.000 3.103
```

Results
Its uncorrected formation energy is 0.586 eV per atom. The density of states at the Fermi level comes out at 0.96 states/eV/atom. As for the space group: P4/mmm, No. 123. The value obtained for the relative energy among the computed polymorphs is 353.3 meV/atom.



# 8
## ZnRu2Br (PBE-GGA)

Data for a geometry-optimized ZnRu2Br structure.

```
4
Lattice="2.990 0.000 0.000 0.000 4.292 0.000 -0.832 0.000 5.177" Properties=species:S:1:pos:R:3 pbc="T T T"
Zn 0.000 0.000 0.000
Ru 0.876 2.146 1.106
Ru 1.282 2.146 4.071
Br 1.079 0.000 2.589
```

Results
Its uncorrected formation energy is 0.653 eV per atom. The density of states at the Fermi level comes out at 1.03 states/eV/atom. As for the space group: P2/m, No. 10. The value obtained for the relative energy among the computed polymorphs is 420.3 meV/atom.



Please write out number 5 again, unchanged.
## ZnRu2Br (PBE-GGA)

Data for a geometry-optimized ZnRu2Br structure.

```
4
Lattice="-1.990 1.990 3.967 1.990 -1.990 3.967 1.990 1.990 -3.967" Properties=species:S:1:pos:R:3 pbc="T T T"
Zn 0.000 0.000 0.000
Ru 0.000 0.000 3.967
Ru 0.000 1.990 1.984
Br 1.990 0.000 1.984
```

Results
Its uncorrected formation energy is 0.829 eV per atom. The density of states at the Fermi level comes out at 1.36 states/eV/atom. As for the space group: I-4m2, No. 119. The value obtained for the relative energy among the computed polymorphs is 596.1 meV/atom.



- Among the records above, which one has the highest uncorrected formation energy?
  ZnRuBr4